PBE-GGA Tb2ZnCd3, relaxed; energy above the most stable polymorph in this dataset = 0.000 eV/atom; formation enthalpy at 0 K = -316.2 meV per atom; raw total energy = -2.5295 eV per atom; Fermi-level density of states = 4.91 states/eV per cell; symmetry = No. 25; total magnetization = 0.00 μB/atom
1.0
-0.2395 -2.3564 -2.4902
-1.5578 -3.2930 3.2658
-7.9697 2.3371 -1.4449
Cd Zn Tb
3 1 2
direct
0.5000 0.5000 0.6593
0.5000 0.0000 0.1730
0.5000 0.0000 0.8327
0.5000 0.5000 0.3326
0.0000 0.5000 0.0091
0.0000 0.0000 0.4933